Below is a geometry-optimized CaBSe structure, with properties calculated at the PBE level. Values from VASP.

Structure (Quantum ESPRESSO input):
```
&SYSTEM
  ibrav = 0, nat = 12, ntyp = 3
/
ATOMIC_SPECIES
Ca 40.08 Ca.upf
B 10.81 B.upf
Se 78.96 Se.upf
CELL_PARAMETERS angstrom
-1.790 -3.444 0.592
2.245 -2.353 -6.901
7.916 -1.185 2.979
ATOMIC_POSITIONS crystal
Ca 0.500 0.257 0.000
Ca 0.500 0.743 0.000
Ca 0.500 0.243 0.500
B 0.026 0.000 0.589
Se 0.938 0.000 0.804
Se 0.062 0.500 0.696
Ca 0.500 0.757 0.500
Se 0.062 0.000 0.196
B 0.026 0.500 0.089
B 0.974 0.500 0.911
B 0.974 0.000 0.411
Se 0.938 0.500 0.304
```

Properties
Crystal system ... monoclinic
Spin magnetization ... 0.000 μB per formula unit
Energy above the most stable polymorph in this dataset ... 0.072 eV/atom
E_tot ... -4.764 eV/atom
SG ... C2/m, No. 12
E_form (uncorrected) ... -0.71 eV/atom